Entry 1:
Entry from Alexandria via LeMat-Bulk: a crystal of LaGeAs2I relaxed with PBEsol (meta-GGA SCAN).

Lattice parameters (Å, degrees): 5.4997 5.4997 6.0386 90.00 90.00 90.00
With the nearest neighbours (Å) after each atom.
Positions (direct):
La (0.0000, 0.0000, 0.0000)  4 As 2.75, 2 I 3.02
Ge (0.5000, 0.5000, 0.5000)  4 I 3.89, 8 As 4.08
As (0.0000, 0.5000, 0.0000)  2 La 2.75
As (0.5000, 0.0000, 0.0000)  2 La 2.75
I (0.0000, 0.0000, 0.5000)  2 La 3.02

## Properties
DOS(E_F) in states/eV/cell: 4.33

Entry 2:
Entry from Alexandria via LeMat-Bulk: a crystal of GeSbAsI2 relaxed with PBEsol (meta-GGA SCAN).

Lattice parameters (Å, degrees): 5.3761 5.3761 5.5501 90.00 90.00 90.00
With the nearest neighbours (Å) after each atom.
Positions (direct):
Ge (0.0000, 0.0000, 0.0000)  4 I 2.69, 2 Sb 2.78
Sb (0.0000, 0.0000, 0.5000)  2 Ge 2.78
As (0.5000, 0.5000, 0.5000)  4 Sb 3.80, 8 I 3.86
I (0.0000, 0.5000, 0.0000)  2 Ge 2.69
I (0.5000, 0.0000, 0.0000)  2 Ge 2.69

## Properties
DOS(E_F) in states/eV/cell: 3.00

Entry 3:
Entry from Alexandria via LeMat-Bulk: a crystal of GeTe2AsI relaxed with PBEsol (meta-GGA SCAN).

Lattice parameters (Å, degrees): 5.3516 5.3516 5.4775 90.00 90.00 90.00
With the nearest neighbours (Å) after each atom.
Positions (direct):
Ge (0.0000, 0.0000, 0.0000)  4 I 3.78, 8 Te 3.83
Te (0.0000, 0.5000, 0.5000)  2 As 2.68
Te (0.5000, 0.0000, 0.5000)  2 As 2.68
As (0.5000, 0.5000, 0.5000)  4 Te 2.68, 2 I 2.74
I (0.5000, 0.5000, 0.0000)  2 As 2.74

## Properties
DOS(E_F) in states/eV/cell: 2.94

Entry 4:
Entry from Alexandria via LeMat-Bulk: a crystal of GeAs3Ir relaxed with PBEsol (meta-GGA SCAN).

Lattice parameters (Å, degrees): 4.7983 4.7983 4.7983 90.00 90.00 90.00
With the nearest neighbours (Å) after each atom.
Positions (direct):
Ge (0.0000, 0.0000, 0.0000)  12 As 3.39
As (0.0000, 0.5000, 0.5000)  2 Ir 2.40
As (0.5000, 0.0000, 0.5000)  2 Ir 2.40
As (0.5000, 0.5000, 0.0000)  2 Ir 2.40
Ir (0.5000, 0.5000, 0.5000)  6 As 2.40

## Properties
DOS(E_F) in states/eV/cell: 6.20
Energy relative to the elements in eV/atom: 0.748

Entry 5:
Entry from Alexandria via LeMat-Bulk: a crystal of K3GeAs relaxed with PBEsol (meta-GGA SCAN).

Lattice parameters (Å, degrees): 6.2213 6.2213 6.2213 90.00 90.00 90.00
With the nearest neighbours (Å) after each atom.
Positions (direct):
K (0.0000, 0.0000, 0.5000)  2 As 3.11
K (0.0000, 0.5000, 0.0000)  2 As 3.11
K (0.5000, 0.0000, 0.0000)  2 As 3.11
Ge (0.5000, 0.5000, 0.5000)  12 K 4.40
As (0.0000, 0.0000, 0.0000)  6 K 3.11

## Properties
DOS(E_F) in states/eV/cell: 3.81
Energy relative to the elements in eV/atom: 0.227

Entry 6:
Entry from Alexandria via LeMat-Bulk: a crystal of KGeAs3 relaxed with PBEsol (meta-GGA SCAN).

Lattice parameters (Å, degrees): 5.2062 5.2062 5.2062 90.00 90.00 90.00
With the nearest neighbours (Å) after each atom.
Positions (direct):
K (0.0000, 0.0000, 0.0000)  6 As 2.60
Ge (0.5000, 0.5000, 0.5000)  12 As 3.68
As (0.0000, 0.0000, 0.5000)  2 K 2.60
As (0.0000, 0.5000, 0.0000)  2 K 2.60
As (0.5000, 0.0000, 0.0000)  2 K 2.60

## Properties
DOS(E_F) in states/eV/cell: 3.16
Energy relative to the elements in eV/atom: 1.796

Entry 7:
Entry from Alexandria via LeMat-Bulk: a crystal of KNa4GeAs3 relaxed with PBEsol (meta-GGA SCAN).

Lattice parameters (Å, degrees): 15.0708 4.7239 13.0713 90.00 90.00 90.00
With the nearest neighbours (Å) after each atom.
Positions (direct):
K (0.0167, 0.2500, 0.1284)  5 As 3.34-3.41, 2 Na 3.65
K (0.4833, 0.7500, 0.6284)  5 As 3.34-3.41, 2 Na 3.65
K (0.5167, 0.2500, 0.3716)  5 As 3.34-3.41, 2 Na 3.65
K (0.9833, 0.7500, 0.8716)  5 As 3.34-3.41, 2 Na 3.65
Na (0.0628, 0.2500, 0.4278)  5 As 2.97-3.27, 2 Ge 3.21
Na (0.0797, 0.2500, 0.6901)  4 As 2.92-3.02
Na (0.2132, 0.7500, 0.0593)  5 As 3.07-3.30, 2 Ge 3.26
Na (0.2431, 0.7500, 0.7625)  3 As 2.95-3.16, 2 Ge 3.18
Na (0.2569, 0.2500, 0.2625)  3 As 2.95-3.16, 2 Ge 3.18
Na (0.2868, 0.2500, 0.5593)  5 As 3.07-3.30, 2 Ge 3.26
Na (0.4203, 0.7500, 0.1901)  4 As 2.92-3.02
Na (0.4372, 0.7500, 0.9278)  5 As 2.97-3.27, 2 Ge 3.21
Na (0.5628, 0.2500, 0.0722)  5 As 2.97-3.27, 2 Ge 3.21
Na (0.5797, 0.2500, 0.8099)  4 As 2.92-3.02
Na (0.7132, 0.7500, 0.4407)  5 As 3.07-3.30, 2 Ge 3.26
Na (0.7431, 0.7500, 0.7375)  3 As 2.95-3.16, 2 Ge 3.18
Na (0.7569, 0.2500, 0.2375)  3 As 2.95-3.16, 2 Ge 3.18
Na (0.7868, 0.2500, 0.9407)  5 As 3.07-3.30, 2 Ge 3.26
Na (0.9203, 0.7500, 0.3099)  4 As 2.92-3.02
Na (0.9372, 0.7500, 0.5722)  5 As 2.97-3.27, 2 Ge 3.21
Ge (0.2064, 0.7500, 0.4148)  3 As 2.34-2.36
Ge (0.2936, 0.2500, 0.9148)  3 As 2.34-2.36
Ge (0.7064, 0.7500, 0.0852)  3 As 2.34-2.36
Ge (0.7936, 0.2500, 0.5852)  3 As 2.34-2.36
As (0.1173, 0.7500, 0.2667)  1 Ge 2.36
As (0.1342, 0.7500, 0.5749)  1 Ge 2.36
As (0.1386, 0.2500, 0.9082)  1 Ge 2.34
As (0.3614, 0.7500, 0.4082)  1 Ge 2.34
As (0.3658, 0.2500, 0.0749)  1 Ge 2.36
As (0.3827, 0.2500, 0.7667)  1 Ge 2.36
As (0.6173, 0.7500, 0.2333)  1 Ge 2.36
As (0.6342, 0.7500, 0.9251)  1 Ge 2.36
As (0.6386, 0.2500, 0.5918)  1 Ge 2.34
As (0.8614, 0.7500, 0.0918)  1 Ge 2.34
As (0.8658, 0.2500, 0.4251)  1 Ge 2.36
As (0.8827, 0.2500, 0.7333)  1 Ge 2.36

## Properties
Energy relative to the elements in eV/atom: -0.513

Entry 8:
Entry from Alexandria via LeMat-Bulk: a crystal of KRbGe2As relaxed with PBEsol (meta-GGA SCAN).

Lattice parameters (Å, degrees): 5.5952 5.5952 5.6140 90.00 90.00 90.00
With the nearest neighbours (Å) after each atom.
Positions (direct):
K (0.0000, 0.0000, 0.0000)  2 Rb 2.81
Rb (0.0000, 0.0000, 0.5000)  4 Ge 2.80, 2 K 2.81
Ge (0.0000, 0.5000, 0.5000)  2 Rb 2.80
Ge (0.5000, 0.0000, 0.5000)  2 Rb 2.80
As (0.5000, 0.5000, 0.0000)  4 K 3.96, 8 Ge 3.96

## Properties
DOS(E_F) in states/eV/cell: 4.19
Energy relative to the elements in eV/atom: 1.415

no.,E_tot (eV/atom)
1,-27.335
2,-29.264
3,-29.508
4,-29.404
5,-12.626
6,-15.802
7,-12.162
8,-16.072